The following is a PBE calculation of CeTm8Sc4 after structural relaxation, from Alexandria.

Results
The value obtained for the formation energy is 20 kJ per mole of atoms. The total energy comes out at -4.946 eV per atom.

```
data_CeTm8Sc4
_space_group_name_H-M_alt 'R -3 m'
_space_group_IT_number 166
_space_group_name_Hall '-R 3 2"'
_cell_length_a 7.0367
_cell_length_b 7.0367
_cell_length_c 25.6738
_cell_angle_alpha 90.00
_cell_angle_beta 90.00
_cell_angle_gamma 120.00
loop_
_atom_site_label
_atom_site_fract_x
_atom_site_fract_y
_atom_site_fract_z
Ce1 0.0000 0.0000 0.0000
Tm1 0.0000 0.0000 0.2782
Tm2 0.0303 0.5152 0.2668
Sc1 0.0000 0.0000 0.5000
Sc2 0.0000 0.5000 0.5000
```